(1)
A relaxed Dy6Ho2Pu crystal, computed with PBE.

Cell lengths 3.4916, 9.6150, 8.5598 Å; angles 104.06, 90.33, 91.13 degrees
Each line ends with the local moment (μB).
Fractional coordinates of all 9 atoms:
Dy 0.7949 0.2876 0.1864  0.10
Dy 0.2538 0.1542 0.4815  0.07
Dy 0.7422 0.9235 0.1411  -0.09
Dy 0.2051 0.7124 0.8136  0.10
Pu 0.5000 0.5000 0.5000  5.65
Ho 0.7632 0.3894 0.8246  0.04
Dy 0.2578 0.0765 0.8589  -0.09
Ho 0.2368 0.6106 0.1754  0.04
Dy 0.7462 0.8458 0.5185  0.07

Results
For the magnetic moment, the calculation gives 6.32 μB/f.u. The calculation puts the raw total energy at -50.37 eV/f.u. As for the formation enthalpy at 0 K: 0.081 eV per atom.


(2)
A relaxed PrNdCdSb crystal, computed with PBE.

Cell lengths 5.4722, 5.4722, 5.4722 Å; angles 60.00, 60.00, 60.00 degrees
Fractional coordinates of all 4 atoms:
Sb 0.2500 0.2500 0.2500
Cd 0.7500 0.7500 0.7500
Pr 0.5000 0.5000 0.5000
Nd 0.0000 0.0000 0.0000

Results
For the magnetic moment, the calculation gives 0.00 μB/f.u. The calculation puts the raw total energy at -16.96 eV/f.u. As for the raw formation energy: -0.593 eV per atom.


(3)
A relaxed K2NpS2Br4 crystal, computed with PBE.

Cell lengths 7.7232, 7.6194, 7.6194 Å; angles 60.12, 58.14, 58.14 degrees
Each line ends with the local moment (μB).
Fractional coordinates of all 9 atoms:
Br 0.7118 0.2898 0.7841  -0.04
S 0.2107 0.2205 0.2205  -0.10
Np 0.5000 0.0000 0.0000  1.49
Br 0.2882 0.2159 0.7102  -0.04
Br 0.2882 0.7102 0.2159  -0.04
S 0.7893 0.7795 0.7795  -0.10
K 0.7588 0.2439 0.2439  0.00
Br 0.7118 0.7841 0.2898  -0.04
K 0.2412 0.7561 0.7561  0.00

Results
For the magnetic moment, the calculation gives 1.00 μB/f.u. The calculation puts the raw total energy at -41.08 eV/f.u. As for the raw formation energy: -1.222 eV per atom.


(4)
A relaxed LiHoCdPd crystal, computed with PBE.

Cell lengths 4.8038, 4.8038, 4.8038 Å; angles 60.00, 60.00, 60.00 degrees
Fractional coordinates of all 4 atoms:
Li 0.0000 0.0000 0.0000
Ho 0.2500 0.2500 0.2500
Pd 0.5000 0.5000 0.5000
Cd 0.7500 0.7500 0.7500

Results
For the magnetic moment, the calculation gives 0.00 μB/f.u. The calculation puts the raw total energy at -14.49 eV/f.u. As for the formation enthalpy at 0 K: -0.472 eV per atom.


(5)
A relaxed MgBiMo2 crystal, computed with PBE.

Cell lengths 4.7161, 4.7161, 4.7161 Å; angles 60.00, 60.00, 60.00 degrees
Each line ends with the local moment (μB).
Fractional coordinates of all 4 atoms:
Mo 0.2500 0.2500 0.2500  0.58
Mg 0.0000 0.0000 0.0000  0.00
Bi 0.5000 0.5000 0.5000  0.00
Mo 0.7500 0.7500 0.7500  0.58

Results
For the magnetic moment, the calculation gives 1.38 μB/f.u. The calculation puts the raw total energy at -24.07 eV/f.u. As for the formation enthalpy at 0 K: 0.766 eV per atom. As for the energy above the lowest structure with this stoichiometry: 56 meV/atom.


(6)
A relaxed Sm2Cu3PdPt12 crystal, computed with PBE.

Cell lengths 9.4704, 9.4704, 9.4704 Å; angles 42.15, 42.15, 42.15 degrees
Fractional coordinates of all 18 atoms:
Sm 0.3402 0.3402 0.3402
Pt 0.4170 0.4170 0.8103
Pt 0.9173 0.3724 0.9173
Cu 0.0000 0.5000 0.0000
Pt 0.8103 0.4170 0.4170
Pt 0.0827 0.6276 0.0827
Pt 0.0827 0.0827 0.6276
Cu 0.0000 0.0000 0.5000
Pt 0.9173 0.9173 0.3724
Cu 0.5000 0.0000 0.0000
Pt 0.3724 0.9173 0.9173
Sm 0.6598 0.6598 0.6598
Pt 0.6276 0.0827 0.0827
Pd 0.0000 0.0000 0.0000
Pt 0.1897 0.5830 0.5830
Pt 0.4170 0.8103 0.4170
Pt 0.5830 0.1897 0.5830
Pt 0.5830 0.5830 0.1897

Results
For the magnetic moment, the calculation gives 0.00 μB/f.u. The calculation puts the raw total energy at -100.78 eV/f.u. As for the formation enthalpy at 0 K: -0.076 eV per atom.


(7)
A relaxed Pu8P3Se4S crystal, computed with PBE.

Cell lengths 8.1173, 8.1577, 8.1172 Å; angles 119.82, 120.00, 90.00 degrees
Each line ends with the local moment (μB).
Fractional coordinates of all 16 atoms:
S 0.0000 0.5000 0.0000  -0.04
P 0.5000 0.5000 0.5000  -0.04
Pu 0.2551 0.2651 0.5101  5.12
Se 0.5000 0.0000 0.0000  -0.03
Se 0.5000 0.0000 0.5000  -0.03
P 0.5000 0.5000 0.0000  -0.15
Se 0.0000 0.0000 0.5000  -0.03
Se 0.0000 0.0000 0.0000  -0.12
Pu 0.7440 0.7348 0.9894  5.17
Pu 0.7449 0.7349 0.4899  5.12
Pu 0.2560 0.2652 0.0106  5.17
Pu 0.2459 0.7362 0.4918  -5.14
Pu 0.7546 0.2652 0.0106  5.17
Pu 0.7541 0.2638 0.5082  -5.14
Pu 0.2454 0.7348 0.9894  5.17
P 0.0000 0.5000 0.5000  -0.04

Results
For the magnetic moment, the calculation gives 21.18 μB/f.u. The calculation puts the raw total energy at -171.58 eV/f.u. As for the raw formation energy: -1.414 eV per atom.


(8)
A relaxed BaTiBe2Tl crystal, computed with PBE.

Cell lengths 4.7198, 6.3154, 4.7198 Å; angles 90.00, 90.00, 90.00 degrees
Each line ends with the local moment (μB).
Fractional coordinates of all 5 atoms:
Be 0.0000 0.0000 0.5000  -0.01
Be 0.5000 0.0000 0.0000  0.00
Ba 0.0000 0.5000 0.0000  0.11
Ti 0.5000 0.5000 0.5000  1.70
Tl 0.0000 0.0000 0.0000  -0.02

Results
For the magnetic moment, the calculation gives 2.32 μB/f.u. The calculation puts the raw total energy at -13.27 eV/f.u. As for the formation enthalpy at 0 K: 1.274 eV per atom.


(9)
A relaxed TaTiI2 crystal, computed with PBE.

Cell lengths 7.5527, 7.5527, 6.3719 Å; angles 53.65, 53.65, 90.00 degrees
Fractional coordinates of all 8 atoms:
Ta 0.7500 0.2500 0.5000
Ti 0.2500 0.7500 0.5000
I 0.8750 0.8742 0.7500
I 0.3750 0.3758 0.7500
Ta 0.0000 0.0000 0.0000
I 0.6242 0.1250 0.2500
Ti 0.5000 0.5000 0.0000
I 0.1258 0.6250 0.2500

Results
For the magnetic moment, the calculation gives 0.00 μB/f.u. The calculation puts the raw total energy at -18.85 eV/f.u. As for the energy above the lowest structure with this stoichiometry: 373 meV/atom. As for the raw formation energy: 0.999 eV per atom.


(10)
A relaxed Cs2LiTiO4 crystal, computed with PBE.

Cell lengths 5.0728, 6.8506, 11.1149 Å; angles 85.15, 76.81, 68.27 degrees
Each line ends with the local moment (μB).
Fractional coordinates of all 16 atoms:
Li 0.0000 0.0000 0.0000  0.00
O 0.8943 0.6618 0.5897  0.22
O 0.6042 0.1618 0.0897  0.22
Ti 0.2500 0.5000 0.5000  -0.09
O 0.4439 0.6618 0.4103  0.22
Cs 0.1713 0.0000 0.6574  0.00
O 0.8557 0.8382 0.9103  0.22
O 0.3061 0.8382 0.0897  0.22
O 0.1458 0.3382 0.4103  0.22
Ti 0.5000 0.0000 0.0000  -0.09
Cs 0.8287 0.0000 0.3426  0.00
Cs 0.9213 0.5000 0.1574  0.00
O 0.5160 0.3382 0.5897  0.22
Cs 0.5787 0.5000 0.8426  0.00
O 0.2340 0.1618 0.9103  0.22
Li 0.7500 0.5000 0.5000  0.00

Results
For the magnetic moment, the calculation gives 1.01 μB/f.u. The calculation puts the raw total energy at -47.35 eV/f.u. As for the raw formation energy: -2.000 eV per atom.


(11)
A relaxed CaZnCdAu6 crystal, computed with PBE.

Cell lengths 7.3728, 9.4387, 8.0907 Å; angles 125.68, 117.11, 90.00 degrees
Fractional coordinates of all 18 atoms:
Cd 0.0000 0.0000 0.5000
Au 0.4358 0.1858 0.8717
Ca 0.2846 0.5346 0.5692
Au 0.3232 0.6059 0.2554
Au 0.0677 0.8504 0.7446
Au 0.6768 0.3941 0.7446
Au 0.9323 0.1496 0.2554
Au 0.3232 0.1496 0.2554
Cd 0.5000 0.0000 0.5000
Zn 0.5000 0.5000 0.0000
Zn 0.5000 0.0000 0.0000
Au 0.5642 0.8142 0.1283
Au 0.9882 0.2382 0.9765
Au 0.9323 0.6059 0.2554
Au 0.0118 0.7618 0.0235
Ca 0.7154 0.4654 0.4308
Au 0.0677 0.3941 0.7446
Au 0.6768 0.8504 0.7446

Results
For the magnetic moment, the calculation gives 0.00 μB/f.u. The calculation puts the raw total energy at -25.93 eV/f.u. As for the formation enthalpy at 0 K: -0.230 eV per atom.


(12)
A relaxed PmSnTe2 crystal, computed with PBE.

Cell lengths 3.9536, 3.9536, 7.5366 Å; angles 90.00, 90.00, 90.00 degrees
Fractional coordinates of all 4 atoms:
Pm 0.5000 0.5000 0.5000
Te 0.0000 0.0000 0.2651
Sn 0.5000 0.5000 0.0000
Te 0.0000 0.0000 0.7349

Results
For the magnetic moment, the calculation gives 0.00 μB/f.u. The calculation puts the raw total energy at -18.01 eV/f.u. As for the raw formation energy: -0.742 eV per atom.


What did the twelfth record say?
A relaxed PmSnTe2 crystal, computed with PBE.

Cell lengths 3.9536, 3.9536, 7.5366 Å; angles 90.00, 90.00, 90.00 degrees
Fractional coordinates of all 4 atoms:
Pm 0.5000 0.5000 0.5000
Te 0.0000 0.0000 0.2651
Sn 0.5000 0.5000 0.0000
Te 0.0000 0.0000 0.7349

Results
For the magnetic moment, the calculation gives 0.00 μB/f.u. The calculation puts the raw total energy at -18.01 eV/f.u. As for the raw formation energy: -0.742 eV per atom.


- Which formula does entry 9 have?
  TaTiI2


- raw total energy of number 11 (CaZnCdAu6)?
  -25.93 eV/f.u.


- Among the records above, which one has the highest raw total energy?
  BaTiBe2Tl